1.
VASP calculation (GGA-PBE) on a relaxed structure of BeFePt.

Computed properties:
- energy above the most stable polymorph in this dataset (eV per formula unit) = 0.197
- ΔE_f (meV/atom) = -360

abc: 4.1943 2.8597 6.2853
angles: 90.00 109.39 90.00
With the nearest neighbours (Å) after each atom.
Space group Pm (No. 6)
Inequivalent atoms, fractional coordinates:
Be: 0.0000 0.0000 0.0000 x1  2 Fe 2.38, 6 Pt 2.42-2.54
Be: 0.3273 0.0000 0.6562 x1  4 Pt 2.37-2.41, 4 Fe 2.54
Fe: 0.6812 0.0000 0.3651 x1  2 Fe 2.35, 4 Pt 2.55
Fe: 0.8391 0.5000 0.6791 x1  2 Fe 2.35, 6 Be 2.38-2.54
Pt: 0.1633 0.5000 0.3293 x1  4 Be 2.41-2.42, 4 Fe 2.55
Pt: 0.4874 0.5000 0.9760 x1  6 Be 2.37-2.54


2.
VASP calculation (GGA-PBE) on a relaxed structure of BeFePt2.

Computed properties:
- ΔE_f (meV/atom) = -339

abc: 2.7636 2.7636 6.6943
angles: 90.00 90.00 90.00
With the nearest neighbours (Å) after each atom.
Space group P4mm (No. 99)
Inequivalent atoms, fractional coordinates:
Be: 0.0000 0.0000 0.0000 x1  4 Pt 2.36, 4 Fe 2.43
Fe: 0.5000 0.5000 0.2146 x1  4 Be 2.43, 4 Pt 2.63
Pt: 0.0000 0.0000 0.4786 x1  4 Fe 2.63, 8 Pt 2.76-2.92
Pt: 0.5000 0.5000 0.8022 x1  4 Be 2.36


3.
VASP calculation (GGA-PBE) on a relaxed structure of BeFePt2.

Computed properties:
- ΔE_f (meV/atom) = -278

abc: 3.0066 4.4182 7.9756
angles: 90.00 90.00 90.00
With the nearest neighbours (Å) after each atom.
Space group Immm (No. 71)
Inequivalent atoms, fractional coordinates:
Be: 0.0000 0.0000 0.0000 x2  4 Pt 2.29
Fe: 0.0000 0.0000 0.5000 x2  4 Be 2.67, 8 Pt 2.72-2.80
Pt: 0.0000 0.5000 0.2842 x4  2 Be 2.29